1.
# K3La3InSe8 PBE optimized geometry
data_K3La3InSe8
_chemical_formula_sum 'K9 La9 In3 Se24'
_space_group_name_H-M_alt 'R -3 m'
_space_group_IT_number 166
_space_group_name_Hall '-R 3 2"'
_cell_length_a 8.7040
_cell_length_b 8.7040
_cell_length_c 23.4528
_cell_angle_alpha 90.00
_cell_angle_beta 90.00
_cell_angle_gamma 120.00
loop_
_atom_site_label
_atom_site_fract_x
_atom_site_fract_y
_atom_site_fract_z
_atom_site_occupancy
K1 0.0000 0.5000 0.0000 1
La1 0.0000 0.5000 0.5000 1
In1 0.0000 0.0000 0.5000 1
Se1 0.0000 0.0000 0.2374 1
Se2 0.0191 0.5096 0.2342 1
# Calculated total energy (hartree per atom): -0.17265
# Density (Mg/m³): 4.14

2.
# CuPb4W PBE optimized geometry
data_CuPb4W
_chemical_formula_sum 'Cu4 Pb16 W4'
_space_group_name_H-M_alt 'F -4 3 m'
_space_group_IT_number 216
_space_group_name_Hall 'F -4 2 3'
_cell_length_a 8.853
_cell_length_b 8.853
_cell_length_c 8.853
_cell_angle_alpha 90.00
_cell_angle_beta 90.00
_cell_angle_gamma 90.00
loop_
_atom_site_label
_atom_site_fract_x
_atom_site_fract_y
_atom_site_fract_z
_atom_site_occupancy
Cu1 0.000 0.000 0.000 1
Pb1 0.124 0.124 0.624 1
W1 0.250 0.250 0.250 1
# Calculated total energy (hartree per atom): -0.14753
# Density (Mg/m³): 10.30
# ΔE_f (eV per formula unit): 7.80

3.
# BaScTc PBE optimized geometry
data_BaScTc
_chemical_formula_sum 'Ba2 Sc2 Tc2'
_space_group_name_H-M_alt 'I 4 m m'
_space_group_IT_number 107
_space_group_name_Hall 'I 4 -2'
_cell_length_a 3.524
_cell_length_b 3.524
_cell_length_c 12.989
_cell_angle_alpha 90.00
_cell_angle_beta 90.00
_cell_angle_gamma 90.00
loop_
_atom_site_label
_atom_site_fract_x
_atom_site_fract_y
_atom_site_fract_z
_atom_site_occupancy
Ba1 0.000 0.000 0.000 1
Sc1 0.000 0.000 0.736 1
Tc1 0.000 0.000 0.322 1
# Calculated total energy (hartree per atom): -0.21285
# Density (Mg/m³): 5.77
# Energy relative to the lowest polymorph listed for this composition (kJ/mol of atoms): 0.0
# ΔE_f (eV per formula unit): 1.24

4.
# CePmTh2S4 PBE optimized geometry
data_CePmTh2S4
_chemical_formula_sum 'Ce1 Pm1 Th2 S4'
_space_group_name_H-M_alt 'P 1 2/m 1'
_space_group_IT_number 10
_space_group_name_Hall '-P 2y'
_cell_length_a 6.940
_cell_length_b 4.041
_cell_length_c 7.010
_cell_angle_alpha 90.00
_cell_angle_beta 109.45
_cell_angle_gamma 90.00
loop_
_atom_site_label
_atom_site_fract_x
_atom_site_fract_y
_atom_site_fract_z
_atom_site_occupancy
Ce1 0.000 0.000 0.000 1
Pm1 0.500 0.500 0.000 1
Th1 0.000 0.500 0.500 1
Th2 0.500 0.000 0.500 1
S1 0.249 0.500 0.247 1
S2 0.251 0.000 0.753 1
# Calculated total energy (hartree per atom): -0.26452
# Density (Mg/m³): 7.86